Arrangement P

Material: SrH2Pd
Method: DFT, GGA-PBE
State: optimized geometry

Unit cell a=4.2509 b=4.2509 c=13.2572 alpha=90.00 beta=90.00 gamma=120.00
Atoms (fractional coordinates):
Sr (0.0000, 0.0000, 0.0000)
Sr (0.3333, 0.6667, 0.6667)
Sr (0.6667, 0.3333, 0.3333)
H (0.0000, 0.0000, 0.3742)
H (0.0000, 0.0000, 0.6258)
H (0.3333, 0.6667, 0.0409)
H (0.3333, 0.6667, 0.2925)
H (0.6667, 0.3333, 0.7075)
H (0.6667, 0.3333, 0.9591)
Pd (0.0000, 0.0000, 0.5000)
Pd (0.3333, 0.6667, 0.1667)
Pd (0.6667, 0.3333, 0.8333)

Calculated values
crystal system	trigonal
symmetry	R-3m, No. 166
volume	17.3	Å³ per atom

---

Arrangement Q

Material: SrH2Pd
Method: DFT, GGA-PBE
State: optimized geometry

Unit cell a=5.5274 b=5.5274 c=7.1033 alpha=90.00 beta=90.00 gamma=90.00
Atoms (fractional coordinates):
Sr (0.0000, 0.0000, 0.0000)
Sr (0.0000, 0.5000, 0.2500)
Sr (0.5000, 0.0000, 0.7500)
Sr (0.5000, 0.5000, 0.5000)
H (0.1356, 0.2500, 0.6250)
H (0.2500, 0.6356, 0.8750)
H (0.2500, 0.8644, 0.3750)
H (0.3644, 0.2500, 0.1250)
H (0.6356, 0.7500, 0.1250)
H (0.7500, 0.1356, 0.3750)
H (0.7500, 0.3644, 0.8750)
H (0.8644, 0.7500, 0.6250)
Pd (0.0000, 0.0000, 0.5000)
Pd (0.0000, 0.5000, 0.7500)
Pd (0.5000, 0.0000, 0.2500)
Pd (0.5000, 0.5000, 0.0000)

Calculated values
crystal system	tetragonal
symmetry	I-42d, No. 122
volume	13.6	Å³ per atom

---

arrangement P has the most favorable energy; the next structure is 69 meV per atom above.

---

Arrangement P

Material: Sr2H4Pd
Method: DFT, GGA-PBE
State: optimized geometry

Unit cell a=3.7247 b=3.7247 c=14.3712 alpha=90.00 beta=90.00 gamma=90.00
Atoms (fractional coordinates):
Sr (0.0000, 0.0000, 0.1376)
Sr (0.0000, 0.0000, 0.8624)
Sr (0.5000, 0.5000, 0.3624)
Sr (0.5000, 0.5000, 0.6376)
H (0.0000, 0.0000, 0.3160)
H (0.0000, 0.0000, 0.6840)
H (0.0000, 0.5000, 0.0000)
H (0.0000, 0.5000, 0.5000)
H (0.5000, 0.0000, 0.0000)
H (0.5000, 0.0000, 0.5000)
H (0.5000, 0.5000, 0.1840)
H (0.5000, 0.5000, 0.8160)
Pd (0.0000, 0.0000, 0.5000)
Pd (0.5000, 0.5000, 0.0000)

Calculated values
crystal system	tetragonal
symmetry	I4/mmm, No. 139
volume	14.2	Å³ per atom

---

Arrangement Q

Material: Sr2H4Pd
Method: DFT, GGA-PBE
State: optimized geometry

Unit cell a=7.6178 b=5.4856 c=9.6994 alpha=90.00 beta=90.00 gamma=90.00
Atoms (fractional coordinates):
Sr (0.0093, 0.2500, 0.1695)
Sr (0.1510, 0.7500, 0.4089)
Sr (0.3490, 0.2500, 0.9089)
Sr (0.4907, 0.7500, 0.6695)
Sr (0.5093, 0.2500, 0.3305)
Sr (0.6510, 0.7500, 0.0911)
Sr (0.8490, 0.2500, 0.5911)
Sr (0.9907, 0.7500, 0.8305)
H (0.0075, 0.7500, 0.1010)
H (0.1759, 0.2500, 0.4101)
H (0.1774, 0.5204, 0.6580)
H (0.1774, 0.9796, 0.6580)
H (0.3226, 0.0204, 0.1580)
H (0.3226, 0.4796, 0.1580)
H (0.3241, 0.7500, 0.9101)
H (0.4925, 0.2500, 0.6010)
H (0.5075, 0.7500, 0.3990)
H (0.6759, 0.2500, 0.0899)
H (0.6774, 0.5204, 0.8420)
H (0.6774, 0.9796, 0.8420)
H (0.8226, 0.0204, 0.3419)
H (0.8226, 0.4796, 0.3419)
H (0.8241, 0.7500, 0.5899)
H (0.9925, 0.2500, 0.8990)
Pd (0.2404, 0.7500, 0.0845)
Pd (0.2596, 0.2500, 0.5845)
Pd (0.7404, 0.7500, 0.4155)
Pd (0.7596, 0.2500, 0.9155)

Calculated values
crystal system	orthorhombic
symmetry	Pnma, No. 62
volume	14.5	Å³ per atom

---

arrangement Q has the most favorable energy; the next structure is 110 meV per atom above.